# 1
This record from the Alexandria database describes crystalline Pr2SnPd6 at its relaxed geometry. The functional is PBE.

abc: 10.1248 5.8444 6.1253
angles: 90.00 90.04 90.00
With the nearest neighbours (Å) after each atom.
Space group C2/m (No. 12)
Unique sites:
Pr 0.1678 0.0000 0.3148 x4  6 Pd 3.04
Sn 0.0000 0.5000 0.5000 x2  6 Pd 2.65
Pd 0.0868 0.2366 0.8218 x8  1 Sn 2.65, 4 Pd 2.77-2.82
Pd 0.1756 0.5000 0.1792 x4  1 Sn 2.65, 4 Pd 2.77-2.82

Summary:
Final energy = -5.70 eV per atom

# 2
This record from the Alexandria database describes crystalline GaSi2C at its relaxed geometry. The functional is PBE.

abc: 5.0931 5.0931 9.5306
angles: 90.00 90.00 90.00
With the nearest neighbours (Å) after each atom.
Space group I-42d (No. 122)
Unique sites:
Ga 0.0000 0.0000 0.0000 x4  4 Si 2.42
Si 0.1697 0.2500 0.6250 x8  2 C 1.95
C 0.0000 0.0000 0.5000 x4  4 Si 1.95

Summary:
Formation energy from raw total energies = 0.33 eV/atom

| no. | DOS at the Fermi energy (states/eV/f.u.) |
| --- | --- |
| 1 | 4.0 |
| 2 | 1.8 |